Model one:
CaFeOs2: relaxed, PBEsol.

Results
DOS(E_F) in states/eV per cell: 5.1
ρ in g/cm3: 11.8

```
data_CaFeOs2
_cell_length_a 2.7814
_cell_length_b 3.6196
_cell_length_c 6.6485
_cell_angle_alpha 90.00
_cell_angle_beta 90.00
_cell_angle_gamma 90.00
_space_group_name_H-M_alt 'P m m 2'
_space_group_IT_number 25
loop_
_space_group_symop_operation_xyz
'x,y,z'
'-x,-y,z'
'-x,y,z'
'x,-y,z'
loop_
_atom_site_label
_atom_site_fract_x
_atom_site_fract_y
_atom_site_fract_z
Ca1 0.0000 0.0000 0.0000
Fe1 0.5000 0.5000 0.3083
Os1 0.0000 0.0000 0.4971
Os2 0.5000 0.5000 0.6807
```

Model two:
CaFeOs2: relaxed, PBEsol.

Results
DOS(E_F) in states/eV per cell: 4.2
ρ in g/cm3: 13.1

```
data_CaFeOs2
_cell_length_a 2.7192
_cell_length_b 2.7192
_cell_length_c 8.1396
_cell_angle_alpha 90.00
_cell_angle_beta 90.00
_cell_angle_gamma 90.00
_space_group_name_H-M_alt 'P 4/m m m'
_space_group_IT_number 123
_space_group_name_Hall '-P 4 2'
loop_
_atom_site_label
_atom_site_fract_x
_atom_site_fract_y
_atom_site_fract_z
Ca1 0.0000 0.0000 0.0000
Fe1 0.0000 0.0000 0.5000
Os1 0.5000 0.5000 0.2981
```

Which one is most stable, and which one is least stable? model two is the most stable of them, while model one is the least stable.

Model one:
CaFeRh2: relaxed, PBEsol.

Results
DOS(E_F) in states/eV per cell: 4.4
ρ in g/cm3: 7.7

```
data_CaFeRh2
_cell_length_a 2.8171
_cell_length_b 3.6872
_cell_length_c 6.2726
_cell_angle_alpha 90.00
_cell_angle_beta 90.00
_cell_angle_gamma 90.00
_space_group_name_H-M_alt 'P m m 2'
_space_group_IT_number 25
loop_
_space_group_symop_operation_xyz
'x,y,z'
'-x,-y,z'
'-x,y,z'
'x,-y,z'
loop_
_atom_site_label
_atom_site_fract_x
_atom_site_fract_y
_atom_site_fract_z
Ca1 0.0000 0.0000 0.0000
Fe1 0.5000 0.5000 0.3366
Rh1 0.0000 0.0000 0.4870
Rh2 0.5000 0.5000 0.7203
```

Model two:
CaFeRh2: relaxed, PBEsol.

Results
DOS(E_F) in states/eV per cell: 6.2
ρ in g/cm3: 8.2

```
data_CaFeRh2
_cell_length_a 6.2480
_cell_length_b 6.2480
_cell_length_c 6.2480
_cell_angle_alpha 90.00
_cell_angle_beta 90.00
_cell_angle_gamma 90.00
_space_group_name_H-M_alt 'F m -3 m'
_space_group_IT_number 225
_space_group_name_Hall '-F 4 2 3'
loop_
_atom_site_label
_atom_site_fract_x
_atom_site_fract_y
_atom_site_fract_z
Ca1 0.0000 0.0000 0.0000
Fe1 0.0000 0.0000 0.5000
Rh1 0.2500 0.2500 0.2500
```

Which one is most stable, and which one is least stable? model two is the most stable of them, while model one is the least stable.

Model one:
CaFeRh2: relaxed, PBEsol.

Results
DOS(E_F) in states/eV per cell: 11.4
ρ in g/cm3: 8.1

```
data_CaFeRh2
_cell_length_a 3.8474
_cell_length_b 3.8474
_cell_length_c 8.3541
_cell_angle_alpha 90.00
_cell_angle_beta 90.00
_cell_angle_gamma 90.00
_space_group_name_H-M_alt 'I -4 m 2'
_space_group_IT_number 119
_space_group_name_Hall 'I -4 -2'
loop_
_atom_site_label
_atom_site_fract_x
_atom_site_fract_y
_atom_site_fract_z
Ca1 0.0000 0.0000 0.0000
Fe1 0.0000 0.5000 0.2500
Rh1 0.0000 0.0000 0.5000
Rh2 0.0000 0.5000 0.7500
```

Model two:
CaFeRh2: relaxed, PBEsol.

Results
DOS(E_F) in states/eV per cell: 11.3
ρ in g/cm3: 8.1

```
data_CaFeRh2
_cell_length_a 2.8883
_cell_length_b 2.8883
_cell_length_c 25.6186
_cell_angle_alpha 90.00
_cell_angle_beta 90.00
_cell_angle_gamma 120.00
_space_group_name_H-M_alt 'R -3 m'
_space_group_IT_number 166
_space_group_name_Hall '-R 3 2"'
loop_
_atom_site_label
_atom_site_fract_x
_atom_site_fract_y
_atom_site_fract_z
Ca1 0.0000 0.0000 0.0000
Fe1 0.0000 0.0000 0.5000
Rh1 0.0000 0.0000 0.2419
```

Which one is most stable, and which one is least stable? model one is the most stable of them, while model two is the least stable.

Model one:
Ca2ScFe: relaxed, PBEsol.

Results
DOS(E_F) in states/eV per cell: 10.4
ρ in g/cm3: 2.7

```
data_Ca2ScFe
_cell_length_a 8.3845
_cell_length_b 3.3837
_cell_length_c 8.1244
_cell_angle_alpha 90.00
_cell_angle_beta 106.13
_cell_angle_gamma 90.00
_space_group_name_H-M_alt 'C 1 m 1'
_space_group_IT_number 8
loop_
_space_group_symop_operation_xyz
'x,y,z'
'x,-y,z'
'x+1/2,y+1/2,z'
'x+1/2,-y+1/2,z'
loop_
_atom_site_label
_atom_site_fract_x
_atom_site_fract_y
_atom_site_fract_z
Ca1 0.0000 0.0000 0.0000
Ca2 0.1587 0.0000 0.5933
Sc1 0.3042 0.5000 0.2969
Fe1 0.0331 0.5000 0.2960
```

Model two:
Ca2ScFe: relaxed, PBEsol.

Results
DOS(E_F) in states/eV per cell: 10.6
ρ in g/cm3: 3.1

```
data_Ca2ScFe
_cell_length_a 4.7408
_cell_length_b 4.7408
_cell_length_c 8.5466
_cell_angle_alpha 90.00
_cell_angle_beta 90.00
_cell_angle_gamma 90.00
_space_group_name_H-M_alt 'I -4 m 2'
_space_group_IT_number 119
_space_group_name_Hall 'I -4 -2'
loop_
_atom_site_label
_atom_site_fract_x
_atom_site_fract_y
_atom_site_fract_z
Ca1 0.0000 0.0000 0.0000
Ca2 0.0000 0.5000 0.2500
Sc1 0.0000 0.5000 0.7500
Fe1 0.0000 0.0000 0.5000
```

Which one is most stable, and which one is least stable? model one is the most stable of them, while model two is the least stable.

Model one:
Ca2ScFe: relaxed, PBEsol.

Results
DOS(E_F) in states/eV per cell: 35.5
ρ in g/cm3: 3.0

```
data_Ca2ScFe
_cell_length_a 7.3731
_cell_length_b 7.3731
_cell_length_c 7.3731
_cell_angle_alpha 90.00
_cell_angle_beta 90.00
_cell_angle_gamma 90.00
_space_group_name_H-M_alt 'F m -3 m'
_space_group_IT_number 225
_space_group_name_Hall '-F 4 2 3'
loop_
_atom_site_label
_atom_site_fract_x
_atom_site_fract_y
_atom_site_fract_z
Ca1 0.2500 0.2500 0.2500
Sc1 0.0000 0.0000 0.0000
Fe1 0.0000 0.0000 0.5000
```

Model two:
Ca2ScFe: relaxed, PBEsol.

Results
DOS(E_F) in states/eV per cell: 5.4
ρ in g/cm3: 3.0

```
data_Ca2ScFe
_cell_length_a 3.4358
_cell_length_b 3.4358
_cell_length_c 8.6056
_cell_angle_alpha 90.00
_cell_angle_beta 90.00
_cell_angle_gamma 90.00
_space_group_name_H-M_alt 'P 4 m m'
_space_group_IT_number 99
loop_
_space_group_symop_operation_xyz
'x,y,z'
'-y,x,z'
'-x,-y,z'
'y,-x,z'
'-x,y,z'
'y,x,z'
'x,-y,z'
'-y,-x,z'
loop_
_atom_site_label
_atom_site_fract_x
_atom_site_fract_y
_atom_site_fract_z
Ca1 0.0000 0.0000 0.0000
Ca2 0.5000 0.5000 0.3585
Sc1 0.0000 0.0000 0.6466
Fe1 0.5000 0.5000 0.7674
```

Which one is most stable, and which one is least stable? model two is the most stable of them, while model one is the least stable.

Model one:
CaFeSe2: relaxed, PBEsol.

Results
DOS(E_F) in states/eV per cell: 10.4
ρ in g/cm3: 3.5

```
data_CaFeSe2
_cell_length_a 4.2795
_cell_length_b 4.2795
_cell_length_c 22.6292
_cell_angle_alpha 90.00
_cell_angle_beta 90.00
_cell_angle_gamma 120.00
_space_group_name_H-M_alt 'R -3 m'
_space_group_IT_number 166
_space_group_name_Hall '-R 3 2"'
loop_
_atom_site_label
_atom_site_fract_x
_atom_site_fract_y
_atom_site_fract_z
Ca1 0.0000 0.0000 0.0000
Fe1 0.0000 0.0000 0.5000
Se1 0.0000 0.0000 0.4007
```

Model two:
CaFeSe2: relaxed, PBEsol.

Results
DOS(E_F) in states/eV per cell: 3.9
ρ in g/cm3: 5.5

```
data_CaFeSe2
_cell_length_a 4.7344
_cell_length_b 4.7344
_cell_length_c 3.3901
_cell_angle_alpha 90.00
_cell_angle_beta 90.00
_cell_angle_gamma 90.00
_space_group_name_H-M_alt 'P 4/m m m'
_space_group_IT_number 123
_space_group_name_Hall '-P 4 2'
loop_
_atom_site_label
_atom_site_fract_x
_atom_site_fract_y
_atom_site_fract_z
Ca1 0.0000 0.0000 0.0000
Fe1 0.5000 0.5000 0.0000
Se1 0.0000 0.5000 0.5000
```

Model three:
CaFeSe2: relaxed, PBEsol.

Results
DOS(E_F) in states/eV per cell: 0.6
ρ in g/cm3: 5.8

```
data_CaFeSe2
_cell_length_a 3.7783
_cell_length_b 3.7783
_cell_length_c 17.7134
_cell_angle_alpha 90.00
_cell_angle_beta 90.00
_cell_angle_gamma 120.00
_space_group_name_H-M_alt 'R -3 m'
_space_group_IT_number 166
_space_group_name_Hall '-R 3 2"'
loop_
_atom_site_label
_atom_site_fract_x
_atom_site_fract_y
_atom_site_fract_z
Ca1 0.0000 0.0000 0.0000
Fe1 0.0000 0.0000 0.5000
Se1 0.0000 0.0000 0.2290
```

Which one is most stable, and which one is least stable? model three is the most stable of them, while model one is the least stable.